1.
First-principles (PBEsol) data for Si2BBr after structural relaxation, as listed in the Alexandria database.

Calculated values
M_tot = 0.0 μB/cell
VASP energy = -4.6464 eV per atom
Space group = I-42d, No. 122

Cell and atoms, written as extended XYZ:
```
8
Lattice="-2.826 2.826 4.497 2.826 -2.826 4.497 2.826 2.826 -4.497" Properties=species:S:1:pos:R:3 pbc="T T T"
Si 4.240 0.782 -1.124
Si 0.782 1.413 1.124
Si -1.413 2.044 3.373
Si 2.044 1.413 5.621
B 0.000 0.000 0.000
B 0.000 2.826 2.248
Br 2.826 0.000 2.248
Br 0.000 0.000 4.497
```



2.
First-principles (PBEsol) data for ScHg2IrRh after structural relaxation, as listed in the Alexandria database.

Calculated values
M_tot = 0.5 μB/cell
VASP energy = -3.7803 eV per atom
ΔH_f (0 K) = 6.8 eV/f.u.
Space group = P4/mmm, No. 123

Cell and atoms, written as extended XYZ:
```
5
Lattice="5.095 0.000 0.000 0.000 5.095 0.000 0.000 0.000 4.533" Properties=species:S:1:pos:R:3 pbc="T T T"
Sc 0.000 0.000 0.000
Hg 0.000 2.547 0.000
Hg 2.547 0.000 0.000
Ir 0.000 0.000 2.267
Rh 2.547 2.547 2.267
```